# BiOF | Alexandria via LeMat-Bulk | PBE-GGA | relaxed
# ΔE_f (raw) (eV per atom): -1.836
# Density of states at the Fermi level (states/eV per atom): 0.000
# E (eV/atom): -5.406
data_BiOF
_chemical_formula_sum 'Bi6 O6 F6'
_cell_length_a 4.0059
_cell_length_b 4.0059
_cell_length_c 20.5127
_cell_angle_alpha 90.00
_cell_angle_beta 90.00
_cell_angle_gamma 120.00
_symmetry_space_group_name_H-M 'R -3 m'
_symmetry_Int_Tables_number 166
_symmetry_space_group_name_Hall '-R 3 2"'
loop_
_atom_site_label
_atom_site_fract_x
_atom_site_fract_y
_atom_site_fract_z
_atom_site_occupancy
Bi1 0.0000 0.0000 0.2388 1
O1 0.0000 0.0000 0.1283 1
F1 0.0000 0.0000 0.3790 1

---

# BiO2F2 | Alexandria via LeMat-Bulk | PBE-GGA | relaxed
# ΔE_f (raw) (eV per atom): -0.124
# Density of states at the Fermi level (states/eV per atom): 0.523
# Excess energy over the best structure of this formula in the dataset (meV/atom): 1138
# E (eV/atom): -3.632
data_BiO2F2
_chemical_formula_sum 'Bi1 O2 F2'
_cell_length_a 3.7164
_cell_length_b 3.7164
_cell_length_c 4.2461
_cell_angle_alpha 90.00
_cell_angle_beta 90.00
_cell_angle_gamma 90.00
_symmetry_space_group_name_H-M 'P 4/m m m'
_symmetry_Int_Tables_number 123
_symmetry_space_group_name_Hall '-P 4 2'
loop_
_atom_site_label
_atom_site_fract_x
_atom_site_fract_y
_atom_site_fract_z
_atom_site_occupancy
Bi1 0.0000 0.0000 0.0000 1
O1 0.0000 0.5000 0.5000 1
F1 0.5000 0.5000 0.0000 1
F2 0.5000 0.5000 0.5000 1